No. 1
Here is an optimized crystal structure of RbCu3ReSe4 from OQMD. Energies are from PBE-GGA.

Summary:
* crystal system: cubic
* total energy: -38.902 eV/cell

Cell lengths 6.2167, 6.2167, 6.2167 Å; angles 90.00, 90.00, 90.00 degrees
Each line ends with the local moment (μB).
Element x y z (fractional)
Se (0.2806, 0.2806, 0.2806)  0.04
Se (0.2806, 0.7194, 0.7194)  0.03
Se (0.7194, 0.2806, 0.7194)  0.03
Se (0.7194, 0.7194, 0.2806)  0.04
Cu (0.0000, 0.5000, 0.5000)  0.03
Cu (0.5000, 0.0000, 0.5000)  0.05
Cu (0.5000, 0.5000, 0.0000)  0.03
Rb (0.0000, 0.0000, 0.0000)  0.00
Re (0.5000, 0.5000, 0.5000)  0.74

***

No. 2
Here is an optimized crystal structure of Hf2TaSn2 from OQMD. Energies are from PBE-GGA.

Summary:
* crystal system: tetragonal
* total energy: -37.834 eV/cell

Cell lengths 7.4429, 7.4429, 7.4429 Å; angles 148.52, 148.52, 45.12 degrees
Element x y z (fractional)
Hf (0.7500, 0.2500, 0.5000)
Hf (0.2500, 0.7500, 0.5000)
Sn (0.4030, 0.4030, 0.0000)
Sn (0.5970, 0.5970, 0.0000)
Ta (0.0000, 0.0000, 0.0000)

***

Q: The lowest total energy belongs to which entry?
A: RbCu3ReSe4

***

Q: Which value of total energy does entry 2 give?
A: -37.834 eV/cell

***

Q: Which formula does entry 2 have?
A: Hf2TaSn2